LiTiP2Cl meta-GGA SCAN single point on PBEsol structure; formation energy without anion corrections = -497 meV per atom; E_tot = -49.68 eV/f.u.; V = 109 Å³ per cell
1.0
4.619 0.000 0.000
0.000 4.619 0.000
0.000 0.000 5.102
Li Ti P Cl
1 1 2 1
direct
0.000 0.000 0.000
0.500 0.500 0.500
0.000 0.500 0.500
0.500 0.000 0.500
0.500 0.500 0.000